(1)
This record from Alexandria describes a relaxed structure of La5ErGe4. The functional is GGA-PBE.

Cell and atoms, written as POSCAR:
```
La5ErGe4
1.0
5.154 0.000 0.000
0.000 6.616 -2.597
-2.577 -3.469 10.028
La Er Ge
5 1 4
Direct
0.834 0.676 0.667 La
0.836 0.175 0.673 La
0.164 0.825 0.327 La
0.500 0.500 0.000 La
0.166 0.324 0.333 La
0.500 0.000 0.000 Er
0.327 0.902 0.653 Ge
0.992 0.750 0.984 Ge
0.673 0.098 0.347 Ge
0.008 0.250 0.016 Ge
```

## Properties
Energy of formation in eV/atom: -0.64
E_tot in eV per cell: -54.08
SG: No. 12


(2)
This record from Alexandria describes a relaxed structure of LaErGe. The functional is GGA-PBE.

Cell and atoms, written as POSCAR:
```
LaErGe
1.0
-3.273 -1.139 2.439
2.857 -6.322 -2.781
-0.448 20.958 9.135
La Er Ge
2 2 2
Direct
0.639 0.277 0.236 La
0.361 0.723 0.764 La
0.019 0.040 0.303 Er
0.981 0.960 0.697 Er
0.914 0.829 0.893 Ge
0.086 0.171 0.107 Ge
```

## Properties
Energy of formation in eV/atom: -0.53
Distance to the lowest polymorph of the same formula in eV per atom: 0.1308
E_tot in eV per cell: -31.41
SG: No. 2


(3)
This record from Alexandria describes a relaxed structure of LaErGe. The functional is GGA-PBE.

Cell and atoms, written as POSCAR:
```
LaErGe
1.0
-3.696 -1.921 -1.740
-0.369 -2.610 3.665
-4.695 5.753 3.624
Ge La Er
2 2 2
Direct
0.500 0.000 0.749 Ge
0.000 0.500 0.251 Ge
0.500 0.000 0.142 La
0.000 0.500 0.858 La
0.500 0.500 0.500 Er
0.000 0.000 0.500 Er
```

## Properties
Energy of formation in eV/atom: -0.62
Distance to the lowest polymorph of the same formula in eV per atom: 0.0429
E_tot in eV per cell: -31.94
SG: No. 129